Here is crystalline RbBi3Mo at its relaxed geometry from Alexandria. Energies are from PBE.

Cell and atoms, written as POSCAR:
```
RbBi3Mo
1.0
5.553 0.000 0.000
0.000 5.553 0.000
0.000 0.000 5.553
Rb Bi Mo
1 3 1
direct
0.000 0.000 0.000
0.000 0.500 0.500
0.500 0.000 0.500
0.500 0.500 0.000
0.500 0.500 0.500
```

Calculated values
The calculation puts the total magnetization at 0.00 μB per formula unit. The formation enthalpy at 0 K is 0.312 eV per atom. The calculation puts the energy relative to the lowest polymorph listed for this composition at 0.0 meV per atom. Its space group is Pm-3m, No. 221.